This record from Alexandria via LeMat-Bulk describes K2NaAl3F12 after structural relaxation. The functional is GGA-PBE.

## Properties
energy above the lowest structure with this stoichiometry = 9 meV/atom
formation energy (no corrections) = -3356 meV per atom
SG = No. 166

Cell: 7.123 7.123 7.123 Å, 59.80 59.80 59.80°
Atoms (fractional coordinates):
Al 0.000 0.000 0.500
Al 0.000 0.500 0.000
Al 0.500 0.000 0.000
F 0.914 0.291 0.291
F 0.086 0.709 0.709
F 0.291 0.914 0.291
F 0.896 0.402 0.896
F 0.709 0.086 0.709
F 0.104 0.598 0.104
F 0.598 0.104 0.104
F 0.291 0.291 0.914
F 0.402 0.896 0.896
F 0.104 0.104 0.598
F 0.896 0.896 0.402
F 0.709 0.709 0.086
K 0.369 0.369 0.369
K 0.631 0.631 0.631
Na 0.000 0.000 0.000



This record from Alexandria via LeMat-Bulk describes Sc2CuSe2 after structural relaxation. The functional is GGA-PBE.

## Properties
formation energy (no corrections) = -977 meV per atom
SG = No. 127

Cell: 7.296 7.296 3.507 Å, 90.00 90.00 90.00°
Atoms (fractional coordinates):
Sc 0.651 0.849 0.500
Sc 0.151 0.651 0.500
Sc 0.849 0.349 0.500
Sc 0.349 0.151 0.500
Cu 0.500 0.500 0.000
Cu 0.000 0.000 0.000
Se 0.849 0.651 0.000
Se 0.651 0.151 0.000
Se 0.151 0.349 0.000
Se 0.349 0.849 0.000